Version w
Material: TaNbSiMoH
Method: DFT, PBE
State: relaxed

The density of states at the Fermi level comes out at 0.73 states/eV per atom.

The structure belongs to space group P1 (No. 1); the cell edges are 3.351, 5.043 and 5.049 Å and the angles 104.72°, 109.12° and 108.68°. The distinct sites, in fractional coordinates, are Ta at (0.000, 0.000, 0.000), Nb at (0.008, 0.450, 0.562), Si at (0.326, 0.048, 0.598), Mo at (0.476, 0.692, 0.242) and H at (0.864, 0.365, 0.129).

***

Version x
Material: TaNbSiMoH
Method: DFT, PBE
State: relaxed

The density of states at the Fermi level comes out at 0.66 states/eV per atom.

The structure belongs to space group Cm (No. 8); the cell edges are 9.799, 3.426 and 4.555 Å and the angles 90.00°, 116.26° and 90.00°. The distinct sites, in fractional coordinates, are Ta at (0.000, 0.000, 0.000), Nb at (0.497, 0.000, 0.514), Si at (0.246, 0.000, 0.739), Mo at (0.236, 0.500, 0.251) and H at (0.433, 0.500, 0.327).

***

Version y
Material: TaNbSiMoH
Method: DFT, PBE
State: relaxed

The density of states at the Fermi level comes out at 0.67 states/eV per atom.

The structure belongs to space group Cm (No. 8); the cell edges are 9.586, 3.393 and 5.170 Å and the angles 90.00°, 122.17° and 90.00°. The distinct sites, in fractional coordinates, are Ta at (0.000, 0.000, 0.000), Nb at (0.064, 0.500, 0.546), Si at (0.283, 0.000, 0.593), Mo at (0.301, 0.500, 0.253) and H at (0.087, 0.500, 0.940).

***

Relative energy table, unit kJ/mol of atoms: version w 0.0; version x 4.8; version y 3.2

***

Version w
Material: TaNb2MoH
Method: DFT, PBE
State: relaxed

The density of states at the Fermi level comes out at 0.74 states/eV per atom.

The structure belongs to space group P4/mmm (No. 123); the cell edges are 4.586, 4.586 and 3.485 Å and the angles 90.00°, 90.00° and 90.00°. The distinct sites, in fractional coordinates, are Ta at (0.000, 0.000, 0.000), Nb at (0.000, 0.500, 0.500), Mo at (0.500, 0.500, 0.000) and H at (0.500, 0.500, 0.500).

***

Version x
Material: TaNb2MoH
Method: DFT, PBE
State: relaxed

The density of states at the Fermi level comes out at 0.58 states/eV per atom.

The structure belongs to space group P4/mmm (No. 123); the cell edges are 3.914, 3.914 and 4.835 Å and the angles 90.00°, 90.00° and 90.00°. The distinct sites, in fractional coordinates, are Ta at (0.000, 0.000, 0.000), Nb at (0.000, 0.500, 0.500), Mo at (0.500, 0.500, 0.000) and H at (0.000, 0.000, 0.500).

***

Relative energy table, unit kJ/mol of atoms: version w 0.0; version x 10.3

***

Version w
Material: Nb2TcMoH
Method: DFT, PBE
State: relaxed

The density of states at the Fermi level comes out at 0.68 states/eV per atom.

The structure belongs to space group P4/mmm (No. 123); the cell edges are 4.515, 4.515 and 3.417 Å and the angles 90.00°, 90.00° and 90.00°. The distinct sites, in fractional coordinates, are Nb at (0.000, 0.500, 0.000), Tc at (0.000, 0.000, 0.500), Mo at (0.500, 0.500, 0.500) and H at (0.000, 0.000, 0.000).

***

Version x
Material: Nb2TcMoH
Method: DFT, PBE
State: relaxed

The density of states at the Fermi level comes out at 0.44 states/eV per atom.

The structure belongs to space group P4/mmm (No. 123); the cell edges are 4.536, 4.536 and 3.385 Å and the angles 90.00°, 90.00° and 90.00°. The distinct sites, in fractional coordinates, are Nb at (0.000, 0.500, 0.000), Tc at (0.000, 0.000, 0.500), Mo at (0.500, 0.500, 0.500) and H at (0.500, 0.500, 0.000).

***

Relative energy table, unit kJ/mol of atoms: version w 0.0; version x 0.6

***

Version w
Material: Ti2NbMoH
Method: DFT, PBE
State: relaxed

The density of states at the Fermi level comes out at 1.27 states/eV per atom.

The structure belongs to space group P4/mmm (No. 123); the cell edges are 3.859, 3.859 and 4.680 Å and the angles 90.00°, 90.00° and 90.00°. The distinct sites, in fractional coordinates, are Ti at (0.000, 0.500, 0.000), Nb at (0.000, 0.000, 0.500), Mo at (0.500, 0.500, 0.500) and H at (0.000, 0.000, 0.000).

***

Version x
Material: Ti2NbMoH
Method: DFT, PBE
State: relaxed

The density of states at the Fermi level comes out at 1.26 states/eV per atom.

The structure belongs to space group P4/mmm (No. 123); the cell edges are 3.869, 3.869 and 4.652 Å and the angles 90.00°, 90.00° and 90.00°. The distinct sites, in fractional coordinates, are Ti at (0.000, 0.500, 0.000), Nb at (0.000, 0.000, 0.500), Mo at (0.500, 0.500, 0.500) and H at (0.500, 0.500, 0.000).

***

Relative energy table, unit kJ/mol of atoms: version w 0.0; version x 2.3

***

Version w
Material: Nb2VMoH
Method: DFT, PBE
State: relaxed

The density of states at the Fermi level comes out at 0.78 states/eV per atom.

The structure belongs to space group P4/mmm (No. 123); the cell edges are 4.487, 4.487 and 3.444 Å and the angles 90.00°, 90.00° and 90.00°. The distinct sites, in fractional coordinates, are Nb at (0.000, 0.500, 0.000), V at (0.000, 0.000, 0.500), Mo at (0.500, 0.500, 0.500) and H at (0.500, 0.500, 0.000).

***

Version x
Material: Nb2VMoH
Method: DFT, PBE
State: relaxed

The density of states at the Fermi level comes out at 0.81 states/eV per atom.

The structure belongs to space group P4/mmm (No. 123); the cell edges are 4.462, 4.462 and 3.377 Å and the angles 90.00°, 90.00° and 90.00°. The distinct sites, in fractional coordinates, are Nb at (0.000, 0.500, 0.000), V at (0.000, 0.000, 0.500), Mo at (0.500, 0.500, 0.500) and H at (0.000, 0.000, 0.000).

***

Relative energy table, unit kJ/mol of atoms: version w 9.5; version x 0.0

***

Version w
Material: NiMo2H2
Method: DFT, PBE
State: relaxed

The density of states at the Fermi level comes out at 0.61 states/eV per atom.

The structure belongs to space group I4/mmm (No. 139); the cell edges are 3.295, 3.295 and 8.991 Å and the angles 90.00°, 90.00° and 90.00°. The distinct sites, in fractional coordinates, are Ni at (0.000, 0.000, 0.000), Mo at (0.000, 0.000, 0.359) and H at (0.000, 0.500, 0.250).

***

Version x
Material: NiMo2H2
Method: DFT, PBE
State: relaxed

The density of states at the Fermi level comes out at 0.22 states/eV per atom.

The structure belongs to space group P4/mbm (No. 127); the cell edges are 5.897, 5.897 and 2.718 Å and the angles 90.00°, 90.00° and 90.00°. The distinct sites, in fractional coordinates, are Ni at (0.000, 0.000, 0.000), Mo at (0.155, 0.345, 0.500) and H at (0.158, 0.658, 0.000).

***

Relative energy table, unit kJ/mol of atoms: version w 0.0; version x 5.7

***

Version w
Material: Ni2MoHOs
Method: DFT, PBE
State: relaxed

The density of states at the Fermi level comes out at 0.79 states/eV per atom.

The structure belongs to space group P4/mmm (No. 123); the cell edges are 3.719, 3.719 and 3.912 Å and the angles 90.00°, 90.00° and 90.00°. The distinct sites, in fractional coordinates, are Ni at (0.000, 0.500, 0.000), Mo at (0.000, 0.000, 0.500), H at (0.500, 0.500, 0.000) and Os at (0.500, 0.500, 0.500).

***

Version x
Material: Ni2MoHOs
Method: DFT, PBE
State: relaxed

The density of states at the Fermi level comes out at 0.76 states/eV per atom.

The structure belongs to space group P4/mmm (No. 123); the cell edges are 3.689, 3.689 and 3.971 Å and the angles 90.00°, 90.00° and 90.00°. The distinct sites, in fractional coordinates, are Ni at (0.000, 0.500, 0.000), Mo at (0.000, 0.000, 0.500), H at (0.000, 0.000, 0.000) and Os at (0.500, 0.500, 0.500).

***

Relative energy table, unit kJ/mol of atoms: version w 2.6; version x 0.0

***

Version w
Material: NiMoHRh2
Method: DFT, PBE
State: relaxed

The density of states at the Fermi level comes out at 0.79 states/eV per atom.

The structure belongs to space group P4/mmm (No. 123); the cell edges are 3.893, 3.893 and 3.736 Å and the angles 90.00°, 90.00° and 90.00°. The distinct sites, in fractional coordinates, are Ni at (0.000, 0.000, 0.000), Mo at (0.500, 0.500, 0.000), H at (0.000, 0.000, 0.500) and Rh at (0.000, 0.500, 0.500).

***

Version x
Material: NiMoHRh2
Method: DFT, PBE
State: relaxed

The density of states at the Fermi level comes out at 1.20 states/eV per atom.

The structure belongs to space group P4/mmm (No. 123); the cell edges are 3.855, 3.855 and 3.909 Å and the angles 90.00°, 90.00° and 90.00°. The distinct sites, in fractional coordinates, are Ni at (0.000, 0.000, 0.000), Mo at (0.500, 0.500, 0.000), H at (0.500, 0.500, 0.500) and Rh at (0.000, 0.500, 0.500).

***

Relative energy table, unit kJ/mol of atoms: version w 0.0; version x 4.7

***

Version w
Material: NiMo2HRh
Method: DFT, PBE
State: relaxed

The density of states at the Fermi level comes out at 1.06 states/eV per atom.

The structure belongs to space group P4/mmm (No. 123); the cell edges are 3.913, 3.913 and 3.852 Å and the angles 90.00°, 90.00° and 90.00°. The distinct sites, in fractional coordinates, are Ni at (0.000, 0.000, 0.000), Mo at (0.000, 0.500, 0.500), H at (0.000, 0.000, 0.500) and Rh at (0.500, 0.500, 0.000).

***

Version x
Material: NiMo2HRh
Method: DFT, PBE
State: relaxed

The density of states at the Fermi level comes out at 1.09 states/eV per atom.

The structure belongs to space group P4/mmm (No. 123); the cell edges are 3.897, 3.897 and 3.912 Å and the angles 90.00°, 90.00° and 90.00°. The distinct sites, in fractional coordinates, are Ni at (0.000, 0.000, 0.000), Mo at (0.000, 0.500, 0.500), H at (0.500, 0.500, 0.500) and Rh at (0.500, 0.500, 0.000).

***

Relative energy table, unit kJ/mol of atoms: version w 0.0; version x 2.7

***

Version w
Material: Ta2NiMoH
Method: DFT, PBE
State: relaxed

The density of states at the Fermi level comes out at 0.68 states/eV per atom.

The structure belongs to space group P4/mmm (No. 123); the cell edges are 4.370, 4.370 and 3.406 Å and the angles 90.00°, 90.00° and 90.00°. The distinct sites, in fractional coordinates, are Ta at (0.000, 0.500, 0.000), Ni at (0.000, 0.000, 0.500), Mo at (0.500, 0.500, 0.500) and H at (0.000, 0.000, 0.000).

***

Version x
Material: Ta2NiMoH
Method: DFT, PBE
State: relaxed

The density of states at the Fermi level comes out at 0.81 states/eV per atom.

The structure belongs to space group P4/mmm (No. 123); the cell edges are 4.244, 4.244 and 3.669 Å and the angles 90.00°, 90.00° and 90.00°. The distinct sites, in fractional coordinates, are Ta at (0.000, 0.500, 0.000), Ni at (0.000, 0.000, 0.500), Mo at (0.500, 0.500, 0.500) and H at (0.500, 0.500, 0.000).

***

Relative energy table, unit kJ/mol of atoms: version w 0.0; version x 13.3

***

Version w
Material: TaNiMoH
Method: DFT, PBE
State: relaxed

The density of states at the Fermi level comes out at 0.52 states/eV per atom.

The structure belongs to space group Cm (No. 8); the cell edges are 4.423, 3.322 and 6.654 Å and the angles 90.00°, 103.56° and 90.00°. The distinct sites, in fractional coordinates, are Ta at (0.000, 0.000, 0.000), Ni at (0.391, 0.000, 0.693), Mo at (0.335, 0.500, 0.389) and H at (0.417, 0.000, 0.209).

***

Version x
Material: TaNiMoH
Method: DFT, PBE
State: relaxed

The density of states at the Fermi level comes out at 0.39 states/eV per atom.

The structure belongs to space group Cm (No. 8); the cell edges are 4.495, 3.218 and 6.804 Å and the angles 90.00°, 104.23° and 90.00°. The distinct sites, in fractional coordinates, are Ta at (0.000, 0.000, 0.000), Ni at (0.111, 0.500, 0.312), Mo at (0.375, 0.000, 0.653) and H at (0.454, 0.500, 0.486).

***

Relative energy table, unit kJ/mol of atoms: version w 7.0; version x 0.0

***

Version w
Material: TaNiMoH
Method: DFT, PBE
State: relaxed

The density of states at the Fermi level comes out at 0.64 states/eV per atom.

The structure belongs to space group Cm (No. 8); the cell edges are 9.470, 3.222 and 3.350 Å and the angles 90.00°, 109.47° and 90.00°. The distinct sites, in fractional coordinates, are Ta at (0.000, 0.000, 0.000), Ni at (0.365, 0.000, 0.384), Mo at (0.180, 0.500, 0.633) and H at (0.205, 0.000, 0.958).

***

Version x
Material: TaNiMoH
Method: DFT, PBE
State: relaxed

The density of states at the Fermi level comes out at 0.57 states/eV per atom.

The structure belongs to space group C2 (No. 5); the cell edges are 3.805, 12.324 and 2.791 Å and the angles 90.00°, 132.84° and 90.00°. The distinct sites, in fractional coordinates, are Ta at (0.000, 0.000, 0.000), Ni at (0.000, 0.349, 0.000), Mo at (0.000, 0.707, 0.000) and H at (0.000, 0.106, 0.500).

***

Relative energy table, unit kJ/mol of atoms: version w 5.5; version x 0.0